Here is a relaxed Pm3Nd2Al3 crystal from Alexandria. Energies are from GGA-PBE.

Cell: 3.7926 5.2798 22.3177 Å, 90.00 90.00 90.00°
Last column: nearest neighbours and their distance in Å.
Space group Immm (No. 71)
Symmetry-distinct sites (fractional):
Pm: 0.0000 0.0000 0.0000 (multiplicity 2)  8 Al 3.20-3.25
Pm: 0.0000 0.5000 0.1166 (multiplicity 4)  6 Al 3.22-3.25
Nd: 0.0000 0.0000 0.2284 (multiplicity 4)  2 Al 3.15, 4 Nd 3.39
Al: 0.0000 0.0000 0.5000 (multiplicity 2)  8 Pm 3.22-3.25
Al: 0.0000 0.5000 0.3845 (multiplicity 4)  2 Nd 3.15, 6 Pm 3.20-3.25

Results
Energy: -74.2 eV per cell
Crystal system: orthorhombic
Energy relative to the elements: -2.1 eV per formula unit